Record 1
A plane-wave DFT calculation with SCAN was carried out for a PBEsol-optimized structure of KHfCuF7.

The structure in POSCAR format:
```
KHfCuF7
1.0
4.138 -6.352 0.000
4.138 6.352 0.000
0.000 0.000 9.944
K Hf Cu F
4 4 4 28
Direct
0.139 0.333 0.250
0.333 0.139 0.750
0.667 0.861 0.250
0.861 0.667 0.750
0.367 0.633 0.569
0.367 0.633 0.931
0.633 0.367 0.069
0.633 0.367 0.431
0.137 0.863 0.071
0.137 0.863 0.429
0.863 0.137 0.571
0.863 0.137 0.929
0.000 0.000 0.000
0.000 0.000 0.500
0.079 0.921 0.250
0.143 0.395 0.513
0.143 0.395 0.987
0.208 0.792 0.611
0.208 0.792 0.889
0.226 0.495 0.750
0.280 0.720 0.115
0.280 0.720 0.385
0.395 0.143 0.013
0.395 0.143 0.487
0.474 0.526 0.113
0.474 0.526 0.387
0.495 0.226 0.250
0.505 0.774 0.750
0.526 0.474 0.613
0.526 0.474 0.887
0.605 0.857 0.513
0.605 0.857 0.987
0.720 0.280 0.615
0.720 0.280 0.885
0.774 0.505 0.250
0.792 0.208 0.111
0.792 0.208 0.389
0.857 0.605 0.013
0.857 0.605 0.487
0.921 0.079 0.750
```

Total DFT energy (no corrections)   -572.88 eV/cell
Raw formation energy   -311 kJ/mol of atoms
Space-group type   Cmcm
Crystal system   orthorhombic



Record 2
A plane-wave DFT calculation with SCAN was carried out for a PBEsol-optimized structure of LiAg3O.

The structure in POSCAR format:
```
LiAg3O
1.0
4.396 0.000 0.000
0.000 4.396 0.000
0.000 0.000 4.396
Li Ag O
1 3 1
Direct
0.000 0.000 0.000
0.000 0.500 0.500
0.500 0.000 0.500
0.500 0.500 0.000
0.500 0.500 0.500
```

Total DFT energy (no corrections)   -102.57 eV/cell
Raw formation energy   3 kJ/mol of atoms
Space-group type   Pm-3m
Crystal system   cubic



Record 3
A plane-wave DFT calculation with SCAN was carried out for a PBEsol-optimized structure of IrBr2.

The structure in POSCAR format:
```
IrBr2
1.0
6.391 -1.751 0.000
6.391 1.751 0.000
-3.862 0.000 6.774
Ir Br
2 4
Direct
0.192 0.192 0.348
0.808 0.808 0.652
0.232 0.232 0.785
0.460 0.460 0.718
0.540 0.540 0.282
0.768 0.768 0.215
```

Total DFT energy (no corrections)   -218.81 eV/cell
Raw formation energy   20 kJ/mol of atoms
Space-group type   C2/m
Crystal system   monoclinic



Record 4
A plane-wave DFT calculation with SCAN was carried out for a PBEsol-optimized structure of LiCdPb2.

The structure in POSCAR format:
```
LiCdPb2
1.0
4.760 0.000 0.000
0.000 4.760 0.000
0.000 0.000 4.294
Li Cd Pb
1 1 2
Direct
0.000 0.000 0.000
0.500 0.500 0.000
0.000 0.500 0.500
0.500 0.000 0.500
```

Formation energy from the elements   -64 kJ/mol of formula units
Total DFT energy (no corrections)   -185.03 eV/cell
Space-group type   P4/mmm
Crystal system   tetragonal



Q: What is the formula in the third record?
A: IrBr2



Q: Which formula does entry 2 have?
A: LiAg3O



Q: Which value of total DFT energy (no corrections) does entry 1 give?
A: -572.88 eV/cell